Entry from Alexandria: an optimized crystal structure of Pm2ScSe3 (PBE).

Its uncorrected formation energy is -1560.7 meV/atom. Its crystal system is orthorhombic. The calculation puts the polymorph energy (0 for the lowest one) at 0.133 eV per atom. The value obtained for the spin magnetization is 0.0 Bohr magnetons per cell.

The space group is Immm (No. 71) and the conventional cell measures 3.874, 4.960 and 15.883 Å, with angles of 90.00, 90.00 and 90.00 degrees. Symmetry generates all atoms from Pm at (0.000, 0.000, 0.144), Sc at (0.000, 0.000, 0.500), Se at (0.000, 0.000, 0.330) and Se at (0.000, 0.500, 0.500).